Tm4InPtRh2 after structural relaxation. Source: Alexandria via LeMat-Bulk, functional GGA-PBE.

Unit cell a=8.5495 b=8.5495 c=8.5495 alpha=33.45 beta=33.45 gamma=33.45
Last column: nearest neighbours and their distance in Å.
Atoms (fractional coordinates):
Tm 0.1185 0.1185 0.1185  1 Pt 2.87, 4 Rh 2.94-3.09, 3 In 3.07
Tm 0.3698 0.3698 0.3698  3 Pt 2.98, 4 Rh 2.99-3.09, 1 In 3.15
Tm 0.6302 0.6302 0.6302  3 Pt 2.98, 4 Rh 2.99-3.09, 1 In 3.15
Tm 0.8815 0.8815 0.8815  1 Pt 2.87, 4 Rh 2.94-3.09, 3 In 3.07
In 0.5000 0.5000 0.5000  8 Tm 3.07-3.15, 6 Rh 3.43
Pt 0.0000 0.0000 0.0000  8 Tm 2.87-2.98
Rh 0.2464 0.2464 0.2464  8 Tm 2.94-3.09
Rh 0.7536 0.7536 0.7536  8 Tm 2.94-3.09

Results
Space-group type: R-3m, No. 166
Raw total energy: -6.04 eV/atom
Magnetization: 0.00 μB/cell
Crystal system: trigonal

***

UInPtRh after structural relaxation. Source: Alexandria via LeMat-Bulk, functional GGA-PBE.

Unit cell a=6.7696 b=6.7696 c=6.7696 alpha=90.00 beta=90.00 gamma=90.00
Last column: nearest neighbours and their distance in Å.
Atoms (fractional coordinates):
U 0.0000 0.0000 0.0000  4 Rh 2.93, 4 Pt 2.93
U 0.0000 0.5000 0.5000  4 Rh 2.93, 4 Pt 2.93
U 0.5000 0.0000 0.5000  4 Rh 2.93, 4 Pt 2.93
U 0.5000 0.5000 0.0000  4 Rh 2.93, 4 Pt 2.93
In 0.0000 0.0000 0.5000  4 Rh 2.93, 4 Pt 2.93
In 0.0000 0.5000 0.0000  4 Rh 2.93, 4 Pt 2.93
In 0.5000 0.0000 0.0000  4 Rh 2.93, 4 Pt 2.93
In 0.5000 0.5000 0.5000  4 Rh 2.93, 4 Pt 2.93
Pt 0.2500 0.2500 0.2500  4 In 2.93, 4 U 2.93
Pt 0.2500 0.7500 0.7500  4 In 2.93, 4 U 2.93
Pt 0.7500 0.2500 0.7500  4 In 2.93, 4 U 2.93
Pt 0.7500 0.7500 0.2500  4 In 2.93, 4 U 2.93
Rh 0.2500 0.2500 0.7500  4 In 2.93, 4 U 2.93
Rh 0.2500 0.7500 0.2500  4 In 2.93, 4 U 2.93
Rh 0.7500 0.2500 0.2500  4 In 2.93, 4 U 2.93
Rh 0.7500 0.7500 0.7500  4 In 2.93, 4 U 2.93

Results
Space-group type: F-43m, No. 216
Raw total energy: -7.35 eV/atom
Magnetization: 7.47 μB/cell
Crystal system: cubic

***

Number 2 is which compound? UInPtRh